Crystalline Pm6Y2Er at its relaxed geometry. Source: Alexandria via LeMat-Bulk, functional PBE.

abc: 3.670 9.993 9.993
angles: 56.03 90.00 90.00
Fractional coordinates of all 9 atoms:
Y  0.500  0.823  0.823
Y  0.500  0.177  0.177
Pm  0.000  0.511  0.160
Pm  0.000  0.840  0.489
Pm  0.000  0.160  0.511
Pm  0.000  0.489  0.840
Pm  0.500  0.315  0.685
Pm  0.500  0.685  0.315
Er  0.000  0.000  0.000

Calculated values
- E_tot (eV per atom) = -4.985
- size of the total moment (μB/atom) = 0.000
- symmetry = No. 65
- excess energy over the best structure of this formula in the dataset (eV per formula unit) = 0.99
- formation enthalpy at 0 K (eV/f.u.) = 1.1